{"formula": "Tb3PrHo2S6", "functional": "GGA-PBE", "state": "optimized geometry", "spacegroup": "C2/m", "total_magnetization_mub_per_atom": 0.000, "total_energy_ev_per_atom": -6.38, "lattice": [[6.841, -0.011, -0.001], [-3.428, 5.920, -0.001], [-1.139, -1.973, 6.431]], "species": ["Tb", "Tb", "Tb", "Pr", "Ho", "Ho", "S", "S", "S", "S", "S", "S"], "frac_coords": [[0.161, 0.839, 0.500], [0.839, 0.161, 0.500], [0.500, 0.500, 0.500], [0.000, 0.000, 0.000], [0.334, 0.666, 0.000], [0.666, 0.334, 0.000], [0.916, 0.570, 0.746], [0.738, 0.738, 0.249], [0.084, 0.430, 0.254], [0.570, 0.916, 0.746], [0.262, 0.262, 0.751], [0.430, 0.084, 0.254]]}